## ZrTlAs2 (PBE)

Data for ZrTlAs2 after structural relaxation.

Lattice parameters (Å, degrees): 5.062 5.062 5.939 79.37 79.37 39.58
Atoms (fractional coordinates):
As 0.481 0.481 0.591
As 0.019 0.019 0.909
Tl 0.250 0.250 0.250
Zr 0.750 0.750 0.750

Properties
SG ... C2/m
Formation energy ... -0.2385 eV per atom
Mass density ... 7.78 Mg/m³
Calculated volume ... 23.772 Å³ per atom



## ZrTlAs2 (PBE)

Data for ZrTlAs2 after structural relaxation.

Lattice parameters (Å, degrees): 3.646 3.658 7.636 61.39 90.00 90.00
Atoms (fractional coordinates):
Tl 0.500 0.250 0.250
Zr 0.500 0.750 0.750
As 0.000 0.443 0.557
As 0.000 0.057 0.943

Properties
SG ... Pmmm
Formation energy ... -0.4783 eV per atom
Mass density ... 8.27 Mg/m³
Calculated volume ... 22.351 Å³ per atom



## ZrTlAs (PBE)

Data for ZrTlAs after structural relaxation.

Lattice parameters (Å, degrees): 6.024 6.024 3.662 72.31 72.31 35.39
Atoms (fractional coordinates):
Tl 0.329 0.329 0.671
As 0.053 0.053 0.947
Zr 0.619 0.619 0.381

Properties
SG ... I4mm
Formation energy ... -0.3914 eV per atom
Mass density ... 8.44 Mg/m³
Calculated volume ... 24.314 Å³ per atom



## ZrTlAs2 (PBE)

Data for ZrTlAs2 after structural relaxation.

Lattice parameters (Å, degrees): 5.164 5.164 5.164 126.60 126.60 78.91
Atoms (fractional coordinates):
Tl 0.250 0.750 0.500
As 0.000 0.000 0.000
As 0.500 0.500 0.000
Zr 0.750 0.250 0.500

Properties
SG ... I4/mmm
Formation energy ... -0.0870 eV per atom
Mass density ... 8.62 Mg/m³
Calculated volume ... 21.465 Å³ per atom



## Zr3TlAs (PBE)

Data for Zr3TlAs after structural relaxation.

Lattice parameters (Å, degrees): 5.309 5.309 5.309 90.00 90.00 90.00
Site moments in Bohr magnetons follow the coordinates.
Atoms (fractional coordinates):
Zr 0.500 0.000 0.000  0.42
As 0.500 0.500 0.500  -0.04
Zr 0.000 0.000 0.500  0.30
Tl 0.000 0.000 0.000  -0.01
Zr 0.000 0.500 0.000  0.29

Properties
SG ... Pm-3m
Formation energy ... 1.1260 eV per atom
Mass density ... 6.14 Mg/m³
Calculated volume ... 29.926 Å³ per atom



## ZrTlAs2 (PBE)

Data for ZrTlAs2 after structural relaxation.

Lattice parameters (Å, degrees): 3.950 3.950 6.018 90.00 90.00 90.00
Atoms (fractional coordinates):
As 0.500 0.500 0.362
As 0.000 0.000 0.878
Zr 0.500 0.500 0.872
Tl 0.000 0.000 0.388

Properties
SG ... P4mm
Formation energy ... -0.3149 eV per atom
Mass density ... 7.88 Mg/m³
Calculated volume ... 23.472 Å³ per atom



For reference, polymorph energy (0 for the lowest one) by record: 0.240; 0.000; 0.000; 0.391; 1.177; 0.163 eV per atom.